1.
Material: Al3SiTc2
Method: DFT, GGA-PBE
State: relaxed

The symmetry is P4mm, No. 99. As for the raw total energy: -6.746 eV per atom. The total magnetization comes out at 0.3 μB/cell.

a b c (Å): 3.188 3.188 8.308
angles (deg): 90.00 90.00 90.00
Element x y z (fractional)
Al (0.500, 0.500, 0.166)
Al (0.000, 0.000, 0.660)
Al (0.500, 0.500, 0.844)
Si (0.000, 0.000, 0.338)
Tc (0.000, 0.000, 0.006)
Tc (0.500, 0.500, 0.486)

2.
Material: AlSi2Tc2
Method: DFT, GGA-PBE
State: relaxed

The symmetry is I4/mmm, No. 139. As for the raw total energy: -7.431 eV per atom. The total magnetization comes out at 0.0 μB/cell.

a b c (Å): 6.677 6.677 6.677
angles (deg): 150.53 150.53 42.16
Element x y z (fractional)
Al (0.000, 0.000, 0.000)
Si (0.750, 0.250, 0.500)
Si (0.250, 0.750, 0.500)
Tc (0.391, 0.391, 0.000)
Tc (0.609, 0.609, 0.000)

3.
Material: Al2SiTc2
Method: DFT, GGA-PBE
State: relaxed

The symmetry is P4/mbm, No. 127. As for the raw total energy: -7.085 eV per atom. The total magnetization comes out at 0.0 μB/cell.

a b c (Å): 6.480 6.480 3.560
angles (deg): 90.00 90.00 90.00
Element x y z (fractional)
Al (0.356, 0.144, 0.500)
Al (0.856, 0.356, 0.500)
Al (0.144, 0.644, 0.500)
Al (0.644, 0.856, 0.500)
Si (0.000, 0.000, 0.000)
Si (0.500, 0.500, 0.000)
Tc (0.660, 0.160, 0.000)
Tc (0.160, 0.340, 0.000)
Tc (0.840, 0.660, 0.000)
Tc (0.340, 0.840, 0.000)